Compound: TlCoNi2W
Source: Alexandria via LeMat-Bulk
Functional: PBE-GGA
Structure: optimized geometry

Cell: 4.626 4.626 4.491 Å, 90.00 90.00 90.00°
Fractional coordinates of all 5 atoms:
Tl 0.000 0.000 0.000
Co 0.500 0.500 0.000
Ni 0.000 0.500 0.500
Ni 0.500 0.000 0.500
W 0.500 0.500 0.500

- Formation energy: 1290.5 meV per atom

Compound: ScPd8Au6
Source: Alexandria via LeMat-Bulk
Functional: PBE-GGA
Structure: optimized geometry

Cell: 7.653 7.653 5.129 Å, 90.00 90.00 120.00°
Fractional coordinates of all 15 atoms:
Sc 0.000 0.000 0.000
Pd 0.051 0.772 0.687
Pd 0.228 0.279 0.687
Pd 0.279 0.051 0.313
Pd 0.333 0.667 0.706
Pd 0.667 0.333 0.294
Pd 0.721 0.949 0.687
Pd 0.772 0.721 0.313
Pd 0.949 0.228 0.313
Au 0.103 0.645 0.194
Au 0.355 0.458 0.194
Au 0.458 0.103 0.806
Au 0.542 0.897 0.194
Au 0.645 0.542 0.806
Au 0.897 0.355 0.806

- Formation energy: -128.2 meV per atom

Compound: CoRuPt2
Source: Alexandria via LeMat-Bulk
Functional: PBE-GGA
Structure: optimized geometry

Cell: 9.013 9.013 9.013 Å, 17.35 17.35 17.35°
Fractional coordinates of all 4 atoms:
Co 0.000 0.000 0.000
Ru 0.500 0.500 0.500
Pt 0.253 0.253 0.253
Pt 0.747 0.747 0.747

- Offset from the most stable computed form: 21 meV/atom
- Formation energy: 23.9 meV per atom

Compound: CeSbS2O
Source: Alexandria via LeMat-Bulk
Functional: PBE-GGA
Structure: optimized geometry

Cell: 3.955 3.955 13.395 Å, 90.00 90.00 90.00°
Fractional coordinates of all 10 atoms:
Ce 0.250 0.250 0.095
Ce 0.750 0.750 0.905
Sb 0.250 0.250 0.623
Sb 0.750 0.750 0.377
S 0.250 0.250 0.382
S 0.250 0.250 0.810
S 0.750 0.750 0.190
S 0.750 0.750 0.618
O 0.250 0.750 0.000
O 0.750 0.250 0.000

- Uncorrected formation energy: -1.663 eV per atom

- Number 3 is which compound?
  CoRuPt2